Entry from Alexandria via LeMat-Bulk: a relaxed structure of Li4HfAu5 (PBE).

Structure (CIF):
```
data_Li4HfAu5
_chemical_formula_sum 'Li4 Hf1 Au5'
_symmetry_space_group_name_H-M 'P 1'
_symmetry_Int_Tables_number 1
_cell_length_a 3.190
_cell_length_b 3.190
_cell_length_c 15.865
_cell_angle_alpha 90.00
_cell_angle_beta 90.00
_cell_angle_gamma 90.00
loop_
_symmetry_equiv_pos_as_xyz
'x,y,z'
loop_
_atom_site_label
_atom_site_fract_x
_atom_site_fract_y
_atom_site_fract_z
Li1 0.000 0.000 0.218
Li2 0.000 0.000 0.406
Li3 0.000 0.000 0.594
Li4 0.000 0.000 0.782
Hf1 0.000 0.000 0.000
Au1 0.500 0.500 0.118
Au2 0.500 0.500 0.310
Au3 0.500 0.500 0.500
Au4 0.500 0.500 0.690
Au5 0.500 0.500 0.882
```

Calculated values
- Symmetry: P4/mmm (123)
- Formation energy: -0.52 eV per atom
- V: 161.4 Å³ per cell
- Final energy: -3.917 eV per atom